# 1
A plane-wave DFT calculation with GGA-PBE was carried out for Mg2ZnRu2 after structural relaxation.

Calculated values
ΔH_f (0 K)	0.04	eV/atom
calculated volume	16.992	Å³/atom

abc: 6.3943 6.3943 4.1557
angles: 90.00 90.00 90.00
Last column: nearest neighbours and their distance in Å.
Sites, in units of the cell vectors:
Mg  0.1694  0.3306  0.0000  6 Ru 2.75-2.84, 1 Mg 3.06
Mg  0.3306  0.8306  0.0000  6 Ru 2.75-2.84, 1 Mg 3.06
Mg  0.6694  0.1694  0.0000  6 Ru 2.75-2.84, 1 Mg 3.06
Mg  0.8306  0.6694  0.0000  6 Ru 2.75-2.84, 1 Mg 3.06
Zn  0.0000  0.0000  0.5000  4 Ru 2.50
Zn  0.5000  0.5000  0.5000  4 Ru 2.50
Ru  0.1319  0.6319  0.5000  1 Ru 2.39, 2 Zn 2.50
Ru  0.3681  0.1319  0.5000  1 Ru 2.39, 2 Zn 2.50
Ru  0.6319  0.8681  0.5000  1 Ru 2.39, 2 Zn 2.50
Ru  0.8681  0.3681  0.5000  1 Ru 2.39, 2 Zn 2.50


# 2
A plane-wave DFT calculation with GGA-PBE was carried out for HoEr2In after structural relaxation.

Calculated values
ΔH_f (0 K)	-0.15	eV/atom
offset from the most stable computed form	116	meV per atom
calculated volume	29.446	Å³/atom

abc: 11.0498 11.0498 11.0498
angles: 18.43 18.43 18.43
Last column: nearest neighbours and their distance in Å.
Sites, in units of the cell vectors:
Ho  0.0000  0.0000  0.0000  6 Er 3.50-3.51, 6 Ho 3.54
Er  0.5793  0.5793  0.5793  3 In 3.30, 3 Ho 3.50, 6 Er 3.54
Er  0.7542  0.7542  0.7542  3 In 3.29, 3 Ho 3.51, 6 Er 3.54
In  0.1665  0.1665  0.1665  6 Er 3.29-3.30, 6 In 3.54


# 3
A plane-wave DFT calculation with GGA-PBE was carried out for CeYAl after structural relaxation.

Calculated values
ΔH_f (0 K)	-0.01	eV/atom
offset from the most stable computed form	194	meV per atom
calculated volume	24.003	Å³/atom

abc: 5.2011 5.2011 3.0738
angles: 90.00 90.00 120.00
Last column: nearest neighbours and their distance in Å.
Sites, in units of the cell vectors:
Ce  0.0000  0.0000  0.0000  3 Y 3.00, 2 Ce 3.07
Y  0.3333  0.6667  0.0021  3 Ce 3.00, 2 Y 3.07
Al  0.6667  0.3333  0.5001  2 Al 3.07, 6 Y 3.37-3.38, 6 Ce 3.37


# 4
A plane-wave DFT calculation with GGA-PBE was carried out for LaInOs2I after structural relaxation.

Calculated values
calculated volume	33.477	Å³/atom
formation energy from raw total energies	179.6	kJ/mol of atoms

abc: 4.9931 4.9931 6.7139
angles: 90.00 90.00 90.00
Last column: nearest neighbours and their distance in Å.
Sites, in units of the cell vectors:
La  0.0000  0.0000  0.0000  4 Os 2.50
In  0.0000  0.0000  0.5000  2 La 3.36, 4 I 3.53
Os  0.0000  0.5000  0.0000  2 La 2.50
Os  0.5000  0.0000  0.0000  2 La 2.50
I  0.5000  0.5000  0.5000  4 In 3.53


Among the records above, which one has the highest calculated volume?
LaInOs2I


Among the records above, which one has the highest calculated volume?
LaInOs2I


The highest calculated volume belongs to which entry?
LaInOs2I


Which of these has the lowest calculated volume?
Mg2ZnRu2